(1)
La2MgAu: relaxed, PBE-GGA.

Cell: 3.678 3.678 8.347 Å, 90.00 90.00 90.00°
Fractional positions:
La1 0.000 0.000 0.000
La2 0.500 0.500 0.330
Mg1 0.000 0.000 0.606
Au1 0.500 0.500 0.767

Output
Density of states at the Fermi level, states/eV/cell: 4.05
M_tot, μB/cell: 0.0
Electronic total energy, eV per atom: -4.0277
SG: P4mm
Energy relative to the elements, kJ per mole of atoms: -33

=====

(2)
MgAlSb: relaxed, PBE-GGA.

Cell: 3.221 3.221 7.520 Å, 90.00 90.00 120.00°
Fractional positions:
Mg1 0.000 0.000 0.000
Al1 0.333 0.667 0.694
Sb1 0.667 0.333 0.352

Output
Density of states at the Fermi level, states/eV/cell: 1.38
M_tot, μB/cell: 0.0
Electronic total energy, eV per atom: -3.0351
E_form (uncorrected), meV/atom: 118
SG: P3m1

=====

(3)
KBe4Pd3O12: relaxed, PBE-GGA.

Cell: 6.399 6.399 6.399 Å, 105.98 105.98 105.98°
Fractional positions:
K1 0.000 0.000 0.000
Be1 0.063 0.500 0.937
Be2 0.500 0.500 0.500
Be3 0.500 0.937 0.063
Be4 0.937 0.063 0.500
Pd1 0.000 0.562 0.438
Pd2 0.438 0.000 0.562
Pd3 0.562 0.438 0.000
O1 0.072 0.635 0.772
O2 0.089 0.911 0.500
O3 0.228 0.365 0.928
O4 0.348 0.652 0.500
O5 0.365 0.928 0.228
O6 0.500 0.089 0.911
O7 0.500 0.348 0.652
O8 0.635 0.772 0.072
O9 0.652 0.500 0.348
O10 0.772 0.072 0.635
O11 0.911 0.500 0.089
O12 0.928 0.228 0.365

Output
Density of states at the Fermi level, states/eV/cell: 5.49
M_tot, μB/cell: 3.1
Electronic total energy, eV per atom: -5.6458
E_form (uncorrected), meV/atom: -1092
SG: R32

=====

(4)
Tl2AgHgI: relaxed, PBE-GGA.

Cell: 5.741 5.741 5.390 Å, 90.00 90.00 90.00°
Fractional positions:
Tl1 0.000 0.500 0.000
Tl2 0.500 0.000 0.000
Ag1 0.000 0.000 0.000
Hg1 0.000 0.000 0.500
I1 0.500 0.500 0.500

Output
Density of states at the Fermi level, states/eV/cell: 1.81
M_tot, μB/cell: 0.0
Electronic total energy, eV per atom: -1.9998
E_form (uncorrected), meV/atom: -113
SG: P4/mmm